No. 1
{"formula": "TeRuO3", "functional": "PBEsol", "state": "relaxed", "raw_formation_energy_ev_per_atom": -0.379, "e_tot_ev_per_atom": -6.268, "crystal_system": "cubic", "lattice": [[3.907, 0.000, 0.000], [0.000, 3.907, 0.000], [0.000, 0.000, 3.907]], "species": ["O", "O", "O", "Ru", "Te"], "frac_coords": [[0.000, 0.000, 0.500], [0.000, 0.500, 0.000], [0.500, 0.000, 0.000], [0.000, 0.000, 0.000], [0.500, 0.500, 0.500]]}

=====

No. 2
{"formula": "Tl2Ru2O7", "functional": "PBEsol", "state": "relaxed", "raw_formation_energy_ev_per_atom": -0.924, "e_tot_ev_per_atom": -6.592, "crystal_system": "cubic", "lattice": [[-1.544, 3.253, -6.259], [-5.283, -2.571, -4.199], [-6.160, 3.698, -0.724]], "species": ["Ru", "Ru", "Ru", "Ru", "O", "O", "O", "O", "O", "O", "O", "O", "O", "O", "O", "O", "O", "O", "Tl", "Tl", "Tl", "Tl"], "frac_coords": [[0.125, 0.625, 0.125], [0.125, 0.125, 0.625], [0.125, 0.125, 0.125], [0.625, 0.125, 0.125], [0.445, 0.445, 0.055], [0.750, 0.750, 0.750], [0.445, 0.055, 0.445], [0.445, 0.055, 0.055], [0.195, 0.805, 0.195], [0.195, 0.195, 0.805], [0.195, 0.805, 0.805], [0.055, 0.445, 0.055], [0.055, 0.445, 0.445], [0.805, 0.805, 0.195], [0.500, 0.500, 0.500], [0.055, 0.055, 0.445], [0.805, 0.195, 0.805], [0.805, 0.195, 0.195], [0.625, 0.625, 0.125], [0.625, 0.125, 0.625], [0.625, 0.625, 0.625], [0.125, 0.625, 0.625]]}

=====

No. 3
{"formula": "TlRuWO2", "functional": "PBEsol", "state": "relaxed", "raw_formation_energy_ev_per_atom": -0.687, "e_tot_ev_per_atom": -8.108, "crystal_system": "tetragonal", "lattice": [[3.829, 0.000, 0.000], [0.000, 3.829, 0.000], [0.000, 0.000, 5.186]], "species": ["Ru", "W", "O", "O", "Tl"], "frac_coords": [[0.000, 0.000, 0.500], [0.000, 0.000, 0.000], [0.500, 0.000, 0.000], [0.000, 0.500, 0.000], [0.500, 0.500, 0.500]]}

=====

No. 4
{"formula": "ZrTl2RuO", "functional": "PBEsol", "state": "relaxed", "raw_formation_energy_ev_per_atom": 0.340, "e_tot_ev_per_atom": -5.614, "crystal_system": "tetragonal", "lattice": [[-2.111, 0.381, 3.174], [4.026, -2.610, 2.990], [2.459, 4.983, 1.038]], "species": ["Tl", "Tl", "Zr", "O", "Ru"], "frac_coords": [[0.000, 0.000, 0.500], [0.000, 0.500, 0.000], [0.000, 0.000, 0.000], [0.500, 0.000, 0.000], [0.500, 0.500, 0.500]]}

=====

No. 5
{"formula": "Tm2Ru2O7", "functional": "PBEsol", "state": "relaxed", "raw_formation_energy_ev_per_atom": -2.245, "e_tot_ev_per_atom": -8.325, "crystal_system": "cubic", "lattice": [[7.058, 0.000, 0.000], [3.529, 6.112, 0.000], [3.529, 2.037, 5.763]], "species": ["O", "O", "O", "O", "O", "O", "O", "O", "O", "O", "O", "O", "O", "O", "Ru", "Ru", "Ru", "Ru", "Tm", "Tm", "Tm", "Tm"], "frac_coords": [[0.212, 0.212, 0.788], [0.212, 0.788, 0.212], [0.750, 0.750, 0.750], [0.462, 0.462, 0.038], [0.788, 0.212, 0.212], [0.462, 0.038, 0.038], [0.500, 0.500, 0.500], [0.788, 0.788, 0.212], [0.212, 0.788, 0.788], [0.462, 0.038, 0.462], [0.038, 0.038, 0.462], [0.788, 0.212, 0.788], [0.038, 0.462, 0.038], [0.038, 0.462, 0.462], [0.125, 0.625, 0.125], [0.125, 0.125, 0.625], [0.125, 0.125, 0.125], [0.625, 0.125, 0.125], [0.625, 0.125, 0.625], [0.625, 0.625, 0.125], [0.625, 0.625, 0.625], [0.125, 0.625, 0.625]]}

=====

No. 6
{"formula": "Y3RuO", "functional": "PBEsol", "state": "relaxed", "raw_formation_energy_ev_per_atom": -1.177, "de_polymorph_mev_per_atom": 0.0, "e_tot_ev_per_atom": -8.355, "crystal_system": "cubic", "lattice": [[4.591, 0.000, 0.000], [0.000, 4.591, 0.000], [0.000, 0.000, 4.591]], "species": ["Y", "Y", "Y", "O", "Ru"], "frac_coords": [[0.000, 0.000, 0.500], [0.500, 0.000, 0.000], [0.000, 0.500, 0.000], [0.000, 0.000, 0.000], [0.500, 0.500, 0.500]]}

=====

No. 7
{"formula": "YZnRu2O", "functional": "PBEsol", "state": "relaxed", "raw_formation_energy_ev_per_atom": 2.272, "e_tot_ev_per_atom": -4.528, "crystal_system": "tetragonal", "lattice": [[4.740, 0.000, 0.000], [0.000, 4.740, 0.000], [0.000, 0.000, 5.318]], "species": ["Y", "Ru", "Ru", "Zn", "O"], "frac_coords": [[0.000, 0.000, 0.000], [0.000, 0.500, 0.000], [0.500, 0.000, 0.000], [0.000, 0.000, 0.500], [0.500, 0.500, 0.500]]}

=====

No. 8
{"formula": "SO3", "functional": "PBEsol", "state": "relaxed", "raw_formation_energy_ev_per_atom": -1.096, "e_tot_ev_per_atom": -6.130, "crystal_system": "orthorhombic", "lattice": [[-5.230, -0.675, -0.937], [2.004, -0.286, -10.980], [1.495, -12.405, 0.596]], "species": ["O", "O", "O", "O", "O", "O", "O", "O", "O", "O", "O", "O", "O", "O", "O", "O", "O", "O", "O", "O", "O", "O", "O", "O", "O", "O", "O", "O", "O", "O", "O", "O", "O", "O", "O", "O", "S", "S", "S", "S", "S", "S", "S", "S", "S", "S", "S", "S"], "frac_coords": [[0.023, 0.712, 0.343], [0.279, 0.864, 0.582], [0.637, 0.986, 0.906], [0.289, 0.615, 0.787], [0.637, 0.486, 0.594], [0.523, 0.288, 0.657], [0.450, 0.181, 0.079], [0.230, 0.914, 0.350], [0.950, 0.819, 0.921], [0.880, 0.861, 0.476], [0.523, 0.788, 0.843], [0.380, 0.639, 0.976], [0.730, 0.086, 0.650], [0.137, 0.014, 0.094], [0.380, 0.139, 0.524], [0.869, 0.304, 0.838], [0.779, 0.636, 0.082], [0.880, 0.361, 0.024], [0.569, 0.830, 0.037], [0.069, 0.170, 0.963], [0.779, 0.136, 0.418], [0.789, 0.385, 0.213], [0.730, 0.586, 0.850], [0.023, 0.212, 0.157], [0.230, 0.414, 0.150], [0.869, 0.804, 0.662], [0.369, 0.696, 0.162], [0.369, 0.196, 0.338], [0.789, 0.885, 0.287], [0.450, 0.681, 0.421], [0.950, 0.319, 0.579], [0.137, 0.514, 0.406], [0.569, 0.330, 0.463], [0.279, 0.364, 0.918], [0.289, 0.115, 0.713], [0.069, 0.670, 0.537], [0.993, 0.857, 0.354], [0.541, 0.191, 0.423], [0.204, 0.635, 0.423], [0.993, 0.357, 0.146], [0.493, 0.643, 0.854], [0.493, 0.143, 0.646], [0.704, 0.865, 0.923], [0.204, 0.135, 0.077], [0.704, 0.365, 0.577], [0.041, 0.309, 0.923], [0.041, 0.809, 0.577], [0.541, 0.691, 0.077]]}

=====

No. 9
{"formula": "SO3", "functional": "PBEsol", "state": "relaxed", "raw_formation_energy_ev_per_atom": -1.097, "e_tot_ev_per_atom": -6.130, "crystal_system": "monoclinic", "lattice": [[4.098, 0.000, 0.000], [0.000, 6.354, 0.002], [0.000, -3.072, 8.974]], "species": ["O", "O", "O", "O", "O", "O", "O", "O", "O", "O", "O", "O", "S", "S", "S", "S"], "frac_coords": [[0.687, 0.656, 0.930], [0.773, 0.668, 0.672], [0.639, 0.577, 0.291], [0.727, 0.168, 0.172], [0.813, 0.156, 0.430], [0.187, 0.844, 0.570], [0.361, 0.423, 0.709], [0.861, 0.077, 0.791], [0.227, 0.332, 0.328], [0.273, 0.832, 0.828], [0.139, 0.923, 0.209], [0.313, 0.344, 0.070], [0.976, 0.120, 0.293], [0.524, 0.620, 0.793], [0.476, 0.380, 0.207], [0.024, 0.880, 0.707]]}

=====

No. 10
{"formula": "S8O", "functional": "PBEsol", "state": "relaxed", "raw_formation_energy_ev_per_atom": -0.132, "e_tot_ev_per_atom": -4.612, "crystal_system": "orthorhombic", "lattice": [[8.168, 0.000, 0.000], [0.000, 8.015, 0.000], [0.000, 0.000, 13.132]], "species": ["O", "O", "O", "O", "S", "S", "S", "S", "S", "S", "S", "S", "S", "S", "S", "S", "S", "S", "S", "S", "S", "S", "S", "S", "S", "S", "S", "S", "S", "S", "S", "S", "S", "S", "S", "S"], "frac_coords": [[0.694, 0.186, 0.307], [0.694, 0.686, 0.193], [0.306, 0.686, 0.693], [0.306, 0.186, 0.807], [0.063, 0.963, 0.705], [0.179, 0.240, 0.093], [0.478, 0.349, 0.472], [0.478, 0.849, 0.028], [0.179, 0.740, 0.407], [0.476, 0.005, 0.643], [0.978, 0.353, 0.032], [0.522, 0.849, 0.528], [0.937, 0.463, 0.295], [0.962, 0.784, 0.621], [0.308, 0.854, 0.740], [0.937, 0.963, 0.205], [0.063, 0.463, 0.795], [0.038, 0.284, 0.379], [0.978, 0.853, 0.468], [0.522, 0.349, 0.972], [0.821, 0.740, 0.907], [0.633, 0.908, 0.907], [0.367, 0.908, 0.407], [0.367, 0.408, 0.093], [0.962, 0.284, 0.879], [0.524, 0.005, 0.143], [0.524, 0.505, 0.357], [0.692, 0.354, 0.260], [0.038, 0.784, 0.121], [0.692, 0.854, 0.240], [0.821, 0.240, 0.593], [0.022, 0.853, 0.968], [0.022, 0.353, 0.532], [0.633, 0.408, 0.593], [0.308, 0.354, 0.760], [0.476, 0.505, 0.857]]}

=====

No. 11
{"formula": "Sb2S6O21", "functional": "PBEsol", "state": "relaxed", "raw_formation_energy_ev_per_atom": -1.255, "e_tot_ev_per_atom": -6.277, "crystal_system": "triclinic", "lattice": [[6.614, 0.041, -0.008], [1.410, 9.574, 0.054], [1.614, 0.446, 12.526]], "species": ["O", "O", "O", "O", "O", "O", "O", "O", "O", "O", "O", "O", "O", "O", "O", "O", "O", "O", "O", "O", "O", "O", "O", "O", "O", "O", "O", "O", "O", "O", "O", "O", "O", "O", "O", "O", "O", "O", "O", "O", "O", "O", "S", "S", "S", "S", "S", "S", "S", "S", "S", "S", "S", "S", "Sb", "Sb", "Sb", "Sb"], "frac_coords": [[0.402, 0.517, 0.306], [0.935, 0.836, 0.899], [0.790, 0.397, 0.336], [0.652, 0.677, 0.385], [0.762, 0.640, 0.792], [0.056, 0.944, 0.245], [0.399, 0.936, 0.094], [0.208, 0.634, 0.891], [0.792, 0.366, 0.109], [0.779, 0.904, 0.379], [0.598, 0.483, 0.694], [0.128, 0.407, 0.398], [0.869, 0.299, 0.513], [0.085, 0.355, 0.967], [0.540, 0.836, 0.528], [0.416, 0.891, 0.350], [0.059, 0.590, 0.257], [0.065, 0.164, 0.101], [0.972, 0.818, 0.649], [0.131, 0.701, 0.487], [0.484, 0.206, 0.060], [0.584, 0.109, 0.650], [0.221, 0.096, 0.621], [0.707, 0.069, 0.226], [0.238, 0.360, 0.208], [0.554, 0.318, 0.884], [0.944, 0.056, 0.755], [0.460, 0.164, 0.472], [0.446, 0.682, 0.116], [0.293, 0.931, 0.774], [0.791, 0.819, 0.198], [0.941, 0.410, 0.743], [0.157, 0.813, 0.030], [0.601, 0.064, 0.906], [0.915, 0.645, 0.033], [0.348, 0.323, 0.615], [0.209, 0.181, 0.802], [0.843, 0.187, 0.970], [0.028, 0.182, 0.351], [0.872, 0.593, 0.602], [0.516, 0.794, 0.940], [0.210, 0.603, 0.664], [0.832, 0.940, 0.253], [0.571, 0.826, 0.415], [0.402, 0.802, 0.045], [0.598, 0.198, 0.955], [0.168, 0.060, 0.747], [0.217, 0.470, 0.284], [0.951, 0.283, 0.042], [0.935, 0.313, 0.402], [0.065, 0.687, 0.598], [0.429, 0.174, 0.585], [0.049, 0.717, 0.958], [0.783, 0.530, 0.716], [0.272, 0.100, 0.212], [0.737, 0.593, 0.231], [0.263, 0.407, 0.769], [0.728, 0.900, 0.788]]}

=====

No. 12
{"formula": "Sb2S2O9", "functional": "PBEsol", "state": "relaxed", "raw_formation_energy_ev_per_atom": -1.357, "e_tot_ev_per_atom": -6.367, "crystal_system": "tetragonal", "lattice": [[-0.509, 6.119, 2.310], [0.832, -2.237, 6.110], [17.351, 2.051, -1.612]], "species": ["O", "O", "O", "O", "O", "O", "O", "O", "O", "O", "O", "O", "O", "O", "O", "O", "O", "O", "O", "O", "O", "O", "O", "O", "O", "O", "O", "O", "O", "O", "O", "O", "O", "O", "O", "O", "S", "S", "S", "S", "S", "S", "S", "S", "Sb", "Sb", "Sb", "Sb", "Sb", "Sb", "Sb", "Sb"], "frac_coords": [[0.297, 0.948, 0.599], [0.990, 0.374, 0.955], [0.449, 0.326, 0.091], [0.703, 0.052, 0.099], [0.116, 0.302, 0.774], [0.874, 0.510, 0.705], [0.174, 0.949, 0.341], [0.856, 0.144, 0.250], [0.302, 0.116, 0.226], [0.448, 0.203, 0.349], [0.051, 0.826, 0.159], [0.884, 0.698, 0.274], [0.698, 0.884, 0.726], [0.626, 0.010, 0.545], [0.674, 0.551, 0.409], [0.384, 0.802, 0.476], [0.356, 0.356, 0.500], [0.326, 0.449, 0.909], [0.552, 0.797, 0.849], [0.797, 0.552, 0.151], [0.490, 0.126, 0.795], [0.644, 0.644, 0.000], [0.616, 0.198, 0.976], [0.052, 0.703, 0.901], [0.948, 0.297, 0.401], [0.010, 0.626, 0.455], [0.826, 0.051, 0.841], [0.203, 0.448, 0.651], [0.198, 0.616, 0.024], [0.949, 0.174, 0.659], [0.510, 0.874, 0.295], [0.126, 0.490, 0.205], [0.144, 0.856, 0.750], [0.374, 0.990, 0.045], [0.802, 0.384, 0.524], [0.551, 0.674, 0.591], [0.539, 0.143, 0.053], [0.961, 0.643, 0.197], [0.143, 0.539, 0.947], [0.357, 0.039, 0.303], [0.643, 0.961, 0.803], [0.857, 0.461, 0.447], [0.039, 0.357, 0.697], [0.461, 0.857, 0.553], [0.161, 0.028, 0.840], [0.339, 0.528, 0.410], [0.472, 0.661, 0.090], [0.528, 0.339, 0.590], [0.028, 0.161, 0.160], [0.839, 0.972, 0.340], [0.972, 0.839, 0.660], [0.661, 0.472, 0.910]]}

=====

No. 13
{"formula": "Se2S2O7", "functional": "PBEsol", "state": "relaxed", "raw_formation_energy_ev_per_atom": -0.905, "e_tot_ev_per_atom": -5.742, "crystal_system": "monoclinic", "lattice": [[-3.250, 5.202, 3.024], [-6.411, -1.908, -3.608], [-1.579, -7.774, 11.673]], "species": ["S", "S", "S", "S", "S", "S", "S", "S", "O", "O", "O", "O", "O", "O", "O", "O", "O", "O", "O", "O", "O", "O", "O", "O", "O", "O", "O", "O", "O", "O", "O", "O", "O", "O", "O", "O", "Se", "Se", "Se", "Se", "Se", "Se", "Se", "Se"], "frac_coords": [[0.584, 0.574, 0.712], [0.916, 0.074, 0.212], [0.706, 0.019, 0.387], [0.206, 0.481, 0.113], [0.416, 0.426, 0.288], [0.084, 0.926, 0.788], [0.794, 0.519, 0.887], [0.294, 0.981, 0.613], [0.247, 0.785, 0.574], [0.939, 0.259, 0.257], [0.577, 0.544, 0.279], [0.995, 0.485, 0.900], [0.644, 0.410, 0.922], [0.423, 0.456, 0.721], [0.856, 0.910, 0.422], [0.356, 0.590, 0.078], [0.005, 0.515, 0.100], [0.495, 0.015, 0.600], [0.729, 0.997, 0.272], [0.771, 0.497, 0.772], [0.061, 0.741, 0.743], [0.439, 0.241, 0.243], [0.144, 0.090, 0.578], [0.561, 0.759, 0.757], [0.271, 0.003, 0.728], [0.229, 0.503, 0.228], [0.253, 0.285, 0.074], [0.753, 0.215, 0.426], [0.670, 0.556, 0.616], [0.830, 0.056, 0.116], [0.747, 0.715, 0.926], [0.170, 0.944, 0.884], [0.077, 0.956, 0.221], [0.505, 0.985, 0.400], [0.923, 0.044, 0.779], [0.330, 0.444, 0.384], [0.966, 0.692, 0.573], [0.591, 0.096, 0.908], [0.534, 0.192, 0.073], [0.034, 0.308, 0.427], [0.409, 0.904, 0.092], [0.909, 0.596, 0.408], [0.466, 0.808, 0.927], [0.091, 0.404, 0.592]]}

=====

No. 14
{"formula": "SiSO3", "functional": "PBEsol", "state": "relaxed", "raw_formation_energy_ev_per_atom": -0.127, "e_tot_ev_per_atom": -5.303, "crystal_system": "cubic", "lattice": [[-0.901, -2.975, -2.080], [-1.616, -1.590, 2.974], [-3.251, 1.615, -0.903]], "species": ["O", "O", "O", "S", "Si"], "frac_coords": [[0.500, 0.000, 0.000], [0.000, 0.500, 0.000], [0.000, 0.000, 0.500], [0.000, 0.000, 0.000], [0.500, 0.500, 0.500]]}